This record from the Alexandria database describes a relaxed BaSm2Hg crystal. The functional is GGA-PBE.

E above lowest polymorph   0.000 eV/atom
Space group   No. 123
Energy   -3.020 eV/atom

Unit cell a=3.860 b=3.860 c=9.722 alpha=90.00 beta=90.00 gamma=90.00
Positions (direct):
Ba: 0.500 0.500 0.500
Hg: 0.500 0.500 0.000
Sm: 0.000 0.000 0.184
Sm: 0.000 0.000 0.816

---

This record from the Alexandria database describes a relaxed BaSmHg2 crystal. The functional is GGA-PBE.

Space group   No. 160
Energy   -2.125 eV/atom

Unit cell a=4.200 b=4.200 c=9.542 alpha=77.29 beta=77.29 gamma=60.00
Positions (direct):
Ba: 0.500 0.500 0.499
Hg: 0.260 0.260 0.220
Hg: 0.073 0.073 0.780
Sm: 0.666 0.666 0.001

---

This record from the Alexandria database describes a relaxed BaSmHg3 crystal. The functional is GGA-PBE.

Space group   No. 63
Energy   -1.969 eV/atom

Unit cell a=4.000 b=5.064 c=15.327 alpha=90.00 beta=97.50 gamma=90.00
Positions (direct):
Sm: 0.209 0.750 0.418
Sm: 0.791 0.250 0.582
Hg: 0.627 0.750 0.255
Hg: 0.688 0.250 0.376
Hg: 0.312 0.750 0.624
Hg: 0.474 0.250 0.947
Hg: 0.526 0.750 0.053
Hg: 0.373 0.250 0.745
Ba: 0.078 0.250 0.156
Ba: 0.922 0.750 0.844

---

Size of the total moment, record by record: 0.0, 0.0, 0.0 μB/f.u.